# 1
## LaHo2Er5Th (PBE-GGA)

Data for an optimized crystal structure of LaHo2Er5Th.

a b c (Å): 5.5988 19.7750 10.4484
angles (deg): 90.00 90.00 90.00
With the nearest neighbours (Å) after each atom.
Space group Cmc2_1 (No. 36)
Symmetry-distinct sites (fractional):
La1 0.0000 0.0847 0.0000  5 Er 3.05-3.27
Ho1 0.0000 0.3868 0.2874  7 Er 3.35-3.66, 1 Th 3.43, 2 La 3.62
Ho2 0.0000 0.3880 0.8725  9 Er 3.25-3.59, 1 Th 3.63
Er1 0.0000 0.0217 0.2892  2 La 3.05-3.27
Er2 0.0000 0.1139 0.5791  6 Er 3.47-3.80, 4 Ho 3.54-3.55, 1 Th 3.65
Er3 0.0000 0.2039 0.2644  4 Er 3.34-3.74, 3 Th 3.46-3.70, 3 Ho 3.52-3.63, 1 La 3.63
Er4 0.0000 0.2235 0.8719  1 La 3.05, 1 Ho 3.25, 2 Er 3.34
Er5 0.0000 0.4837 0.5808  2 La 3.22, 3 Ho 3.34-3.59, 2 Er 3.55
Th1 0.0000 0.2982 0.5698  2 Ho 3.43-3.63, 8 Er 3.46-3.70, 2 La 3.71

Results
- E_form (meV per atom) = 174

---

# 2
## La3Ho6Er2Th (PBE-GGA)

Data for an optimized crystal structure of La3Ho6Er2Th.

a b c (Å): 6.2020 10.7424 11.8399
angles (deg): 90.00 100.09 90.00
With the nearest neighbours (Å) after each atom.
Space group C2/m (No. 12)
Symmetry-distinct sites (fractional):
La1 0.0000 0.0000 0.0000  6 La 3.58, 6 Ho 3.63-3.64
La2 0.0000 0.3330 0.0000  6 La 3.58-3.59, 6 Ho 3.63-3.64
Ho1 0.2466 0.3347 0.7437  1 Th 3.50, 2 Er 3.52, 6 Ho 3.55-3.60, 3 La 3.63-3.64
Ho2 0.2490 0.5000 0.2561  1 Th 3.51, 2 Er 3.52, 6 Ho 3.55-3.60, 3 La 3.63-3.64
Er1 0.0000 0.1668 0.5000  6 Ho 3.52, 3 Er 3.58, 3 Th 3.58
Th1 0.0000 0.5000 0.5000  6 Ho 3.50-3.51, 6 Er 3.58

Results
- E_form (meV per atom) = 22

---

# 3
## LaHoEr2Th (PBE-GGA)

Data for an optimized crystal structure of LaHoEr2Th.

a b c (Å): 3.5160 5.6403 8.6997
angles (deg): 90.00 90.00 90.00
With the nearest neighbours (Å) after each atom.
Space group Pmmm (No. 47)
Symmetry-distinct sites (fractional):
La1 0.0000 0.0000 0.0000  4 Th 3.32, 2 La 3.52
Ho1 0.5000 0.0000 0.5000  2 Ho 3.52, 8 Er 3.67
Er1 0.0000 0.5000 0.3220  1 Er 3.10, 2 Th 3.31
Th1 0.5000 0.5000 0.0000  4 Er 3.31, 4 La 3.32, 2 Th 3.52

Results
- E_form (meV per atom) = 294

---

# 4
## LaHoErTh (PBE-GGA)

Data for an optimized crystal structure of LaHoErTh.

a b c (Å): 8.0666 8.0666 8.0666
angles (deg): 90.00 90.00 90.00
With the nearest neighbours (Å) after each atom.
Space group F-43m (No. 216)
Symmetry-distinct sites (fractional):
La1 0.0000 0.0000 0.0000  4 Er 3.49, 4 Ho 3.49
Ho1 0.2500 0.2500 0.2500  4 La 3.49, 4 Th 3.49
Er1 0.2500 0.2500 0.7500  4 La 3.49, 4 Th 3.49
Th1 0.0000 0.0000 0.5000  4 Ho 3.49, 4 Er 3.49

Results
- E_form (meV per atom) = 112
- energy above the most stable polymorph in this dataset (kJ/mol of atoms) = 9.46

---

What did the fourth record say?
## LaHoErTh (PBE-GGA)

Data for an optimized crystal structure of LaHoErTh.

a b c (Å): 8.0666 8.0666 8.0666
angles (deg): 90.00 90.00 90.00
With the nearest neighbours (Å) after each atom.
Space group F-43m (No. 216)
Symmetry-distinct sites (fractional):
La1 0.0000 0.0000 0.0000  4 Er 3.49, 4 Ho 3.49
Ho1 0.2500 0.2500 0.2500  4 La 3.49, 4 Th 3.49
Er1 0.2500 0.2500 0.7500  4 La 3.49, 4 Th 3.49
Th1 0.0000 0.0000 0.5000  4 Ho 3.49, 4 Er 3.49

Results
- E_form (meV per atom) = 112
- energy above the most stable polymorph in this dataset (kJ/mol of atoms) = 9.46